Entry 1:
Entry from the Alexandria database: a relaxed structure of Ac2LaCoPb (PBE).

Cell and atoms, written as POSCAR:
```
Ac2LaCoPb
1.0
-3.726 1.919 3.265
-3.402 -4.170 -1.432
2.046 -3.095 4.153
Ac La Pb Co
2 1 1 1
Cartesian
1.023 -1.547 2.076
-1.701 -2.085 -0.716
-1.863 0.959 1.632
-2.541 -2.673 2.993
0.000 0.000 0.000
```

Values from the calculation:
DOS(E_F)	3.31	states/eV/cell
crystal system	tetragonal
electronic total energy	-25.554	eV/f.u.
formation energy	-319	meV/atom
V	165	Å³/cell
theoretical density	8.7	g/cm³

***

Entry 2:
Entry from the Alexandria database: a relaxed structure of Ac2La2CoPb2 (PBE).

Cell and atoms, written as POSCAR:
```
Ac2La2CoPb2
1.0
5.138 0.000 0.000
0.000 5.138 0.000
-2.569 -2.569 9.108
Ac Pb La Co
2 2 2 1
Cartesian
2.569 2.569 5.942
0.000 0.000 3.166
0.000 0.000 6.613
2.569 2.569 2.496
2.569 0.000 0.000
0.000 2.569 0.000
0.000 0.000 0.000
```

Values from the calculation:
DOS(E_F)	4.59	states/eV/cell
crystal system	tetragonal
electronic total energy	-35.753	eV/f.u.
formation energy	-451	meV/atom
V	240	Å³/cell
theoretical density	8.3	g/cm³

***

Entry 3:
Entry from the Alexandria database: a relaxed structure of Ac2La2CoPd2 (PBE).

Cell and atoms, written as POSCAR:
```
Ac2La2CoPd2
1.0
4.118 0.000 0.000
2.059 7.590 -0.044
2.059 2.816 6.665
La Co Pd Ac
2 1 2 2
Cartesian
4.118 2.445 0.890
4.118 7.960 5.732
0.000 0.000 0.000
6.177 6.153 4.497
2.059 4.252 2.124
4.118 3.643 4.612
4.118 6.762 2.009
```

Values from the calculation:
DOS(E_F)	5.28	states/eV/cell
crystal system	monoclinic
electronic total energy	-38.672	eV/f.u.
formation energy	-444	meV/atom
V	209	Å³/cell
theoretical density	8.0	g/cm³

***

Entry 4:
Entry from the Alexandria database: a relaxed structure of AcLa2CoPd (PBE).

Cell and atoms, written as POSCAR:
```
AcLa2CoPd
1.0
-1.171 -5.093 4.397
5.837 -2.690 -1.561
-0.257 4.553 5.205
Pd Ac La Co
2 2 4 2
Cartesian
3.605 -1.439 1.945
0.805 -1.791 6.095
1.013 0.301 3.270
3.396 -3.531 4.771
3.738 -4.539 1.042
0.928 -3.244 1.794
1.513 -0.698 -0.405
4.324 -1.993 -1.156
4.726 -0.088 3.809
-0.317 -3.143 4.232
```

Values from the calculation:
DOS(E_F)	11.64	states/eV/cell
crystal system	orthorhombic
electronic total energy	-27.385	eV/f.u.
formation energy	-225	meV/atom
V	275	Å³/cell
theoretical density	8.1	g/cm³

***

Entry 5:
Entry from the Alexandria database: a relaxed structure of AcLaPrCo (PBE).

Cell and atoms, written as POSCAR:
```
AcLaPrCo
1.0
-3.000 -2.746 0.360
3.289 -3.161 3.300
0.798 8.564 2.604
Ac Pr Co La
1 1 1 1
Cartesian
-0.795 -1.255 1.689
0.824 3.410 4.543
-0.794 4.954 2.832
1.613 -0.437 4.875
```

Values from the calculation:
DOS(E_F)	4.57	states/eV/cell
crystal system	monoclinic
electronic total energy	-21.048	eV/f.u.
formation energy	-32	meV/atom
V	137	Å³/cell
theoretical density	6.9	g/cm³

***

Entry 6:
Entry from the Alexandria database: a relaxed structure of Ac2La2CoRh2 (PBE).

Cell and atoms, written as POSCAR:
```
Ac2La2CoRh2
1.0
4.063 0.000 0.000
2.031 7.563 0.033
2.031 2.888 6.554
Rh Ac La Co
2 2 2 1
Cartesian
2.031 4.302 2.013
6.094 6.148 4.574
4.063 3.791 4.595
4.063 6.659 1.992
4.063 7.913 5.601
4.063 2.537 0.986
0.000 0.000 0.000
```

Values from the calculation:
DOS(E_F)	4.60	states/eV/cell
crystal system	monoclinic
electronic total energy	-42.719	eV/f.u.
formation energy	-406	meV/atom
V	201	Å³/cell
theoretical density	8.2	g/cm³